Record 1
Computed, not measured: La5SmY2Er after structural relaxation at the PBE level of DFT.

Results
energy relative to the elements: 302 meV/atom
total moment: 0.001 μB per cell

Geometry as CIF:
```
data_La5SmY2Er
_chemical_formula_sum 'La20 Sm4 Y8 Er4'
_cell_length_a 9.598
_cell_length_b 9.598
_cell_length_c 14.046
_cell_angle_alpha 90.00
_cell_angle_beta 90.00
_cell_angle_gamma 90.00
_space_group_name_H-M_alt 'I 4/m c m'
_space_group_IT_number 140
_space_group_name_Hall '-I 4 2c'
loop_
_atom_site_label
_atom_site_fract_x
_atom_site_fract_y
_atom_site_fract_z
La1 0.000 0.000 0.000
La2 0.202 0.298 0.138
Sm1 0.000 0.000 0.250
Y1 0.108 0.392 0.500
Er1 0.000 0.500 0.250
```

---

Record 2
Computed, not measured: Zr2TlSbN after structural relaxation at the PBE level of DFT.

Results
ΔE_f (raw): 1153 meV/atom
total moment: 0.000 μB per cell

Geometry as CIF:
```
data_Zr2TlSbN
_chemical_formula_sum 'Zr2 Tl1 Sb1 N1'
_cell_length_a 5.475
_cell_length_b 5.475
_cell_length_c 4.106
_cell_angle_alpha 90.00
_cell_angle_beta 90.00
_cell_angle_gamma 90.00
_space_group_name_H-M_alt 'P 4/m m m'
_space_group_IT_number 123
_space_group_name_Hall '-P 4 2'
loop_
_atom_site_label
_atom_site_fract_x
_atom_site_fract_y
_atom_site_fract_z
Zr1 0.000 0.500 0.000
Tl1 0.000 0.000 0.000
Sb1 0.500 0.500 0.500
N1 0.000 0.000 0.500
```

---

Record 3
Computed, not measured: SrCr2Hg after structural relaxation at the PBE level of DFT.

Results
energy relative to the elements: 298 meV/atom
ΔE to the lowest computed polymorph: 0.0000 eV/atom
total moment: 0.006 μB per cell

Geometry as CIF:
```
data_SrCr2Hg
_chemical_formula_sum 'Sr3 Cr6 Hg3'
_cell_length_a 4.4582
_cell_length_b 4.4582
_cell_length_c 17.7394
_cell_angle_alpha 90.00
_cell_angle_beta 90.00
_cell_angle_gamma 120.00
_space_group_name_H-M_alt 'R 3 m'
_space_group_IT_number 160
_space_group_name_Hall 'R 3 -2"'
loop_
_atom_site_label
_atom_site_fract_x
_atom_site_fract_y
_atom_site_fract_z
Sr1 0.0000 0.0000 0.0000
Cr1 0.0000 0.0000 0.1993
Cr2 0.0000 0.0000 0.5287
Hg1 0.0000 0.0000 0.7962
```

---

Record 4
Computed, not measured: CsSmZnSe3 after structural relaxation at the PBE level of DFT.

Results
ΔE to the lowest computed polymorph: 0.0228 eV/atom
ΔE_f (raw): -1396 meV/atom
total moment: 0.000 μB per cell

Geometry as CIF:
```
data_CsSmZnSe3
_chemical_formula_sum 'Cs2 Sm2 Zn2 Se6'
_cell_length_a 9.824
_cell_length_b 4.249
_cell_length_c 10.328
_cell_angle_alpha 90.00
_cell_angle_beta 110.83
_cell_angle_gamma 90.00
_space_group_name_H-M_alt 'P 1 21/m 1'
_space_group_IT_number 11
_space_group_name_Hall '-P 2yb'
loop_
_atom_site_label
_atom_site_fract_x
_atom_site_fract_y
_atom_site_fract_z
Cs1 0.214 0.250 0.242
Sm1 0.330 0.750 0.860
Zn1 0.083 0.250 0.610
Se1 0.120 0.250 0.857
Se2 0.187 0.750 0.541
Se3 0.473 0.750 0.157
```

---

Record 5
Computed, not measured: La2ScW after structural relaxation at the PBE level of DFT.

Results
energy relative to the elements: 373 meV/atom
ΔE to the lowest computed polymorph: 0.0000 eV/atom
total moment: 0.000 μB per cell

Geometry as CIF:
```
data_La2ScW
_chemical_formula_sum 'La2 Sc1 W1'
_cell_length_a 3.729
_cell_length_b 3.729
_cell_length_c 7.792
_cell_angle_alpha 90.00
_cell_angle_beta 90.00
_cell_angle_gamma 90.00
_space_group_name_H-M_alt 'P 4 m m'
_space_group_IT_number 99
_space_group_name_Hall 'P 4 -2'
loop_
_atom_site_label
_atom_site_fract_x
_atom_site_fract_y
_atom_site_fract_z
La1 0.000 0.000 0.000
La2 0.500 0.500 0.347
Sc1 0.000 0.000 0.607
W1 0.500 0.500 0.752
```

---

Record 6
Computed, not measured: InSeS3 after structural relaxation at the PBE level of DFT.

Results
ΔE to the lowest computed polymorph: 0.0000 eV/atom
ΔE_f (raw): 379 meV/atom
total moment: 0.000 μB per cell

Geometry as CIF:
```
data_InSeS3
_chemical_formula_sum 'In1 Se1 S3'
_cell_length_a 4.840
_cell_length_b 4.840
_cell_length_c 4.840
_cell_angle_alpha 90.00
_cell_angle_beta 90.00
_cell_angle_gamma 90.00
_space_group_name_H-M_alt 'P m -3 m'
_space_group_IT_number 221
_space_group_name_Hall '-P 4 2 3'
loop_
_atom_site_label
_atom_site_fract_x
_atom_site_fract_y
_atom_site_fract_z
In1 0.000 0.000 0.000
Se1 0.500 0.500 0.500
S1 0.000 0.500 0.500
```

---

Record 7
Computed, not measured: AcIn2TcO8 after structural relaxation at the PBE level of DFT.

Results
ΔE_f (raw): -1711 meV/atom
total moment: 0.000 μB per cell

Geometry as CIF:
```
data_AcIn2TcO8
_chemical_formula_sum 'Ac2 In4 Tc2 O16'
_cell_length_a 7.011
_cell_length_b 7.103
_cell_length_c 6.918
_cell_angle_alpha 90.00
_cell_angle_beta 90.00
_cell_angle_gamma 90.00
_space_group_name_H-M_alt 'C m m m'
_space_group_IT_number 65
_space_group_name_Hall '-C 2 2'
loop_
_atom_site_label
_atom_site_fract_x
_atom_site_fract_y
_atom_site_fract_z
Ac1 0.000 0.000 0.000
In1 0.000 0.500 0.257
Tc1 0.000 0.000 0.500
O1 0.000 0.280 0.500
O2 0.000 0.324 0.000
O3 0.188 0.000 0.305
```

---

Record 8
Computed, not measured: Tb2Ni4Ge3Rh after structural relaxation at the PBE level of DFT.

Results
energy relative to the elements: -624 meV/atom
total moment: 0.000 μB per cell

Geometry as CIF:
```
data_Tb2Ni4Ge3Rh
_chemical_formula_sum 'Tb2 Ni4 Ge3 Rh1'
_cell_length_a 3.995
_cell_length_b 3.995
_cell_length_c 10.127
_cell_angle_alpha 90.00
_cell_angle_beta 90.00
_cell_angle_gamma 90.00
_space_group_name_H-M_alt 'P -4 m 2'
_space_group_IT_number 115
_space_group_name_Hall 'P -4 -2'
loop_
_atom_site_label
_atom_site_fract_x
_atom_site_fract_y
_atom_site_fract_z
Tb1 0.000 0.500 0.249
Ni1 0.000 0.000 0.500
Ni2 0.000 0.500 0.858
Ni3 0.500 0.500 0.500
Ge1 0.000 0.000 0.000
Ge2 0.000 0.500 0.628
Rh1 0.500 0.500 0.000
```